## P
The following is a PBE calculation of an optimized crystal structure of CaCuW2, from Alexandria.

Structure (POSCAR):
```
CaCuW2
1.0
3.6849 0.0000 0.0000
0.0000 4.0687 0.0000
0.0000 0.0000 9.1764
Ca Cu W
2 2 4
direct
0.0000 0.0000 0.0000
0.5000 0.5000 0.0000
0.0000 0.0000 0.5000
0.5000 0.5000 0.5000
0.0000 0.5000 0.2889
0.0000 0.5000 0.7111
0.5000 0.0000 0.2889
0.5000 0.0000 0.7111
```

Its space-group type is Cmmm. The value obtained for the volume is 17.2 Å³ per atom. For the total moment, the calculation gives 0.000 μB/atom.

## Q
The following is a PBE calculation of an optimized crystal structure of CaCuW2, from Alexandria.

Structure (POSCAR):
```
CaCuW2
1.0
6.4495 0.0000 0.0000
0.0000 6.4495 0.0000
0.0000 0.0000 6.4495
Ca Cu W
4 4 8
direct
0.0000 0.0000 0.0000
0.0000 0.5000 0.5000
0.5000 0.0000 0.5000
0.5000 0.5000 0.0000
0.0000 0.0000 0.5000
0.0000 0.5000 0.0000
0.5000 0.0000 0.0000
0.5000 0.5000 0.5000
0.2500 0.2500 0.2500
0.2500 0.2500 0.7500
0.2500 0.7500 0.2500
0.2500 0.7500 0.7500
0.7500 0.2500 0.2500
0.7500 0.2500 0.7500
0.7500 0.7500 0.2500
0.7500 0.7500 0.7500
```

Its space-group type is Fm-3m. The value obtained for the volume is 16.8 Å³ per atom. For the total moment, the calculation gives 0.000 μB/atom.

## R
The following is a PBE calculation of an optimized crystal structure of CaCuW2, from Alexandria.

Structure (POSCAR):
```
CaCuW2
1.0
3.8290 0.0000 0.0000
0.0000 3.8290 0.0000
0.0000 0.0000 9.8101
Ca Cu W
2 2 4
direct
0.0000 0.0000 0.0000
0.5000 0.5000 0.5000
0.0000 0.0000 0.5000
0.5000 0.5000 0.0000
0.0000 0.5000 0.2500
0.0000 0.5000 0.7500
0.5000 0.0000 0.2500
0.5000 0.0000 0.7500
```

Its space-group type is I4/mmm. The value obtained for the volume is 18.0 Å³ per atom. For the total moment, the calculation gives 0.000 μB/atom.

Relative energy of each structure, in meV per atom: P 0; Q 700; R 96.